Entry from Alexandria: an optimized crystal structure of AlInPb2 (GGA-PBE).

Summary:
* DFT formation energy: 172 meV/atom
* magnetic moment: 0.0000 μB per atom

Geometry as POSCAR:
```
AlInPb2
1.0
7.601 0.000 0.000
0.000 7.601 0.000
0.000 0.000 7.601
Al In Pb
4 4 8
Direct
0.000 0.000 0.000 Al
0.000 0.500 0.500 Al
0.500 0.000 0.500 Al
0.500 0.500 0.000 Al
0.000 0.000 0.500 In
0.000 0.500 0.000 In
0.500 0.000 0.000 In
0.500 0.500 0.500 In
0.250 0.250 0.250 Pb
0.250 0.250 0.750 Pb
0.250 0.750 0.250 Pb
0.250 0.750 0.750 Pb
0.750 0.250 0.250 Pb
0.750 0.250 0.750 Pb
0.750 0.750 0.250 Pb
0.750 0.750 0.750 Pb
```


Entry from Alexandria: an optimized crystal structure of Nd4Ag2HgPt (GGA-PBE).

Summary:
* DFT formation energy: -526 meV/atom
* magnetic moment: 0.0000 μB per atom

Geometry as POSCAR:
```
Nd4Ag2HgPt
1.0
2.644 1.527 8.581
-2.644 1.527 8.581
0.000 -3.053 8.581
Nd Ag Hg Pt
4 2 1 1
Direct
0.118 0.118 0.118 Nd
0.369 0.369 0.369 Nd
0.631 0.631 0.631 Nd
0.882 0.882 0.882 Nd
0.242 0.242 0.242 Ag
0.758 0.758 0.758 Ag
0.500 0.500 0.500 Hg
0.000 0.000 0.000 Pt
```